KZn2InTe4: optimized geometry, GGA-PBE.

The structure in extended XYZ format:
```
8
Lattice="-2.907 -6.089 -2.489 0.870 -1.782 -7.047 4.064 -6.084 -0.253" Properties=species:S:1:pos:R:3 pbc="T T T"
Te 2.287 -9.508 -5.028
Te 0.938 -6.061 -2.211
Zn 0.880 -10.321 -6.949
Te -1.614 -7.282 -5.918
Zn 1.146 -3.634 -2.840
Te 2.442 -5.059 -6.418
K 0.000 0.000 0.000
In 1.013 -6.978 -4.894
```

Summary:
total moment: 0.000 μB/cell
E_tot: -0.2067 Ry per atom
V: 36.43 A^3/atom
formation energy (no corrections): -0.44 eV/atom


K2ZrInTe5: optimized geometry, GGA-PBE.

The structure in extended XYZ format:
```
18
Lattice="-2.776 3.074 0.026 -6.164 -8.329 -3.272 -3.434 -3.223 14.673" Properties=species:S:1:pos:R:3 pbc="T T T"
Te -5.194 -4.673 -2.145
Te -7.413 -4.001 11.720
Te -4.041 -0.953 11.302
Te -1.148 -1.039 0.297
Te -6.694 -6.109 7.689
K -7.673 -4.141 0.350
Te -9.846 -6.144 5.232
Zr -7.534 -4.062 5.845
In -5.535 -2.318 13.167
K -4.280 -3.943 9.280
In -8.040 -7.289 3.396
Te -8.467 -7.652 0.702
K -3.100 -2.832 3.828
Te -5.892 -5.351 3.687
Zr -3.295 -2.967 -1.014
Te -5.504 -2.233 6.411
Te -5.026 -1.756 0.944
K -9.752 -6.097 9.647
```

Summary:
total moment: 0.000 μB/cell
E_tot: -0.2913 Ry per atom
V: 37.83 A^3/atom
formation energy (no corrections): -0.72 eV/atom


K3TiIn: optimized geometry, GGA-PBE.

The structure in extended XYZ format:
```
5
Lattice="-5.022 -2.577 -3.533 0.533 -5.701 3.400 -4.341 2.282 4.506" Properties=species:S:1:pos:R:3 pbc="T T T"
K 0.266 -2.851 1.700
K -2.511 -1.288 -1.767
K -2.170 1.141 2.253
Ti -4.415 -2.998 2.186
In 0.000 0.000 0.000
```

Summary:
energy above the most stable polymorph in this dataset: 0 meV/atom
total moment: 2.940 μB/cell
E_tot: -0.1362 Ry per atom
ΔH_f (0 K): 0.932 eV per atom
V: 59.07 A^3/atom